## VSb2IF (PBE with a Hubbard U)

Data for VSb2IF after structural relaxation.

Calculated values
DOS at the Fermi energy in states/eV/f.u.: 5.61
Symmetry: P4/mmm (123)
Energy in eV per atom: -3.3539

Geometry as extended XYZ:
```
5
Lattice="-4.659 0.032 0.343 -0.337 -1.345 -4.461 0.085 -5.615 1.686" Properties=species:S:1:pos:R:3 pbc="T T T"
I 0.043 -2.807 0.843
F 0.000 0.000 0.000
Sb -0.169 -0.672 -2.231
Sb -2.330 0.016 0.171
V -2.456 -3.463 -1.217
```